DFT (GGA-PBE) results for Ca2DyPaN4 after structural relaxation. Values from VASP.

Space-group type: No. 10
Mass density (kg/m3): 7135
Size of the total moment (μB/f.u.): 0.00
E_tot (eV per atom): -7.9344

Structure (Quantum ESPRESSO input):
```
&SYSTEM
  ibrav = 0, nat = 8, ntyp = 4
/
ATOMIC_SPECIES
Ca 40.08 Ca.upf
Dy 162.50 Dy.upf
Pa 231.04 Pa.upf
N 14.01 N.upf
CELL_PARAMETERS angstrom
6.0591 0.0000 0.0000
0.0000 3.5537 0.0000
-1.9877 0.0000 5.7251
ATOMIC_POSITIONS angstrom
Ca 0.0000 0.0000 0.0000
Ca 3.0295 1.7768 0.0000
Dy -0.9938 1.7768 2.8626
Pa 2.0357 0.0000 2.8626
N 0.1271 0.0000 4.1126
N 1.0800 1.7768 1.6118
N 2.9914 1.7768 4.1133
N 3.9443 0.0000 1.6125
```


DFT (GGA-PBE) results for Ba2HgPd2 after structural relaxation. Values from VASP.

Space-group type: No. 139
Mass density (kg/m3): 7406
Energy of formation (eV/atom): -0.35
Size of the total moment (μB/f.u.): 0.00
E_tot (eV per atom): -3.2534

Structure (Quantum ESPRESSO input):
```
&SYSTEM
  ibrav = 0, nat = 5, ntyp = 3
/
ATOMIC_SPECIES
Ba 137.33 Ba.upf
Hg 200.59 Hg.upf
Pd 106.42 Pd.upf
CELL_PARAMETERS angstrom
-2.0256 2.0256 9.4000
2.0256 -2.0256 9.4000
2.0256 2.0256 -9.4000
ATOMIC_POSITIONS angstrom
Ba 0.0000 0.0000 2.2589
Ba 0.0000 0.0000 16.5410
Hg 0.0000 0.0000 9.4000
Pd 2.0256 0.0000 4.7000
Pd 0.0000 2.0256 4.7000
```


DFT (GGA-PBE) results for LiPmP2Rh2 after structural relaxation. Values from VASP.

Space-group type: No. 164
Mass density (kg/m3): 7336
Energy of formation (eV/atom): -1.04
Size of the total moment (μB/f.u.): 0.00
E_tot (eV per atom): -6.4095

Structure (Quantum ESPRESSO input):
```
&SYSTEM
  ibrav = 0, nat = 6, ntyp = 4
/
ATOMIC_SPECIES
Li 6.94 Li.upf
Pm 145.00 Pm.upf
P 30.97 P.upf
Rh 102.91 Rh.upf
CELL_PARAMETERS angstrom
4.0740 0.0000 0.0000
-2.0370 3.5282 0.0000
0.0000 0.0000 6.6089
ATOMIC_POSITIONS angstrom
Li 0.0000 0.0000 0.0000
Pm 0.0000 0.0000 3.3044
P 0.0000 2.3522 5.1224
P 2.0370 1.1761 1.4865
Rh 0.0000 2.3522 0.9175
Rh 2.0370 1.1761 5.6914
```


DFT (GGA-PBE) results for MgNiIr after structural relaxation. Values from VASP.

Space-group type: No. 107
Mass density (kg/m3): 10724
Energy of formation (eV/atom): -0.10
Size of the total moment (μB/f.u.): 0.00
E_tot (eV per atom): -5.5111
Relative energy among the computed polymorphs (eV per atom): 0.173

Structure (Quantum ESPRESSO input):
```
&SYSTEM
  ibrav = 0, nat = 3, ntyp = 3
/
ATOMIC_SPECIES
Mg 24.30 Mg.upf
Ni 58.69 Ni.upf
Ir 192.22 Ir.upf
CELL_PARAMETERS angstrom
-1.3736 1.3736 5.6467
1.3736 -1.3736 5.6467
1.3736 1.3736 -5.6467
ATOMIC_POSITIONS angstrom
Mg 0.0000 0.0000 0.0000
Ni 0.0000 0.0000 7.5921
Ir 0.0000 0.0000 3.6243
```


DFT (GGA-PBE) results for Ca2LaFe after structural relaxation. Values from VASP.

Space-group type: No. 139
Mass density (kg/m3): 3858
Energy of formation (eV/atom): 0.49
Size of the total moment (μB/f.u.): 1.34
E_tot (eV per atom): -3.8627
Relative energy among the computed polymorphs (eV per atom): 0.266

Structure (Quantum ESPRESSO input):
```
&SYSTEM
  ibrav = 0, nat = 4, ntyp = 3
/
ATOMIC_SPECIES
Ca 40.08 Ca.upf
La 138.91 La.upf
Fe 55.84 Fe.upf
CELL_PARAMETERS angstrom
-2.3067 2.3067 5.5599
2.3067 -2.3067 5.5599
2.3067 2.3067 -5.5599
ATOMIC_POSITIONS angstrom
Ca 2.3067 0.0000 2.7799
Ca 0.0000 2.3067 2.7799
La 0.0000 0.0000 0.0000
Fe 0.0000 0.0000 5.5599
```


DFT (GGA-PBE) results for Ca2La2Co after structural relaxation. Values from VASP.

Space-group type: No. 123
Mass density (kg/m3): 4046
Energy of formation (eV/atom): -0.05
Size of the total moment (μB/f.u.): 0.00
E_tot (eV per atom): -4.2387

Structure (Quantum ESPRESSO input):
```
&SYSTEM
  ibrav = 0, nat = 5, ntyp = 3
/
ATOMIC_SPECIES
Ca 40.08 Ca.upf
La 138.91 La.upf
Co 58.93 Co.upf
CELL_PARAMETERS angstrom
5.3926 0.0000 0.0000
0.0000 5.3926 0.0000
0.0000 0.0000 5.8842
ATOMIC_POSITIONS angstrom
Ca 0.0000 0.0000 0.0000
Ca 2.6963 2.6963 0.0000
La 0.0000 2.6963 2.9421
La 2.6963 0.0000 2.9421
Co 0.0000 0.0000 2.9421
```


DFT (GGA-PBE) results for Cu4HgTe after structural relaxation. Values from VASP.

Space-group type: No. 216
Mass density (kg/m3): 10009
Size of the total moment (μB/f.u.): 0.00
E_tot (eV per atom): -3.1346

Structure (Quantum ESPRESSO input):
```
&SYSTEM
  ibrav = 0, nat = 6, ntyp = 3
/
ATOMIC_SPECIES
Cu 63.55 Cu.upf
Hg 200.59 Hg.upf
Te 127.60 Te.upf
CELL_PARAMETERS angstrom
0.0000 3.6421 3.6421
3.6421 0.0000 3.6421
3.6421 3.6421 0.0000
ATOMIC_POSITIONS angstrom
Cu 0.9081 0.9081 0.9081
Cu 2.7340 2.7340 0.9081
Cu 2.7340 0.9081 2.7340
Cu 0.9081 2.7340 2.7340
Hg 5.4631 5.4631 5.4631
Te 3.6421 3.6421 3.6421
```


DFT (GGA-PBE) results for NiGeRh after structural relaxation. Values from VASP.

Space-group type: No. 70
Mass density (kg/m3): 8113
Energy of formation (eV/atom): -0.01
Size of the total moment (μB/f.u.): 0.00
E_tot (eV per atom): -5.9235

Structure (Quantum ESPRESSO input):
```
&SYSTEM
  ibrav = 0, nat = 12, ntyp = 3
/
ATOMIC_SPECIES
Ni 58.69 Ni.upf
Ge 72.64 Ge.upf
Rh 102.91 Rh.upf
CELL_PARAMETERS angstrom
0.0000 4.5367 6.6741
3.1667 0.0000 6.6741
3.1667 4.5367 0.0000
ATOMIC_POSITIONS angstrom
Ni 0.0000 0.0000 0.0000
Ni 1.5833 2.2684 0.0000
Ni 1.5833 0.0000 3.3371
Ni 0.0000 2.2684 3.3371
Ge 2.3750 1.4916 5.0056
Ge 3.9584 3.7599 8.3427
Ge 2.3750 5.3136 5.0056
Ge 3.9584 7.5819 8.3427
Rh 2.3750 3.4026 3.4907
Rh 2.3750 3.4026 6.5205
Rh 3.9584 5.6709 6.8278
Rh 3.9584 5.6709 9.8576
```


DFT (GGA-PBE) results for CuH2I2 after structural relaxation. Values from VASP.

Space-group type: No. 139
Mass density (kg/m3): 6063
Size of the total moment (μB/f.u.): 0.00
E_tot (eV per atom): -1.9976
Relative energy among the computed polymorphs (eV per atom): 0.426

Structure (Quantum ESPRESSO input):
```
&SYSTEM
  ibrav = 0, nat = 5, ntyp = 3
/
ATOMIC_SPECIES
Cu 63.55 Cu.upf
H 1.01 H.upf
I 126.90 I.upf
CELL_PARAMETERS angstrom
-1.8557 1.8557 6.3496
1.8557 -1.8557 6.3496
1.8557 1.8557 -6.3496
ATOMIC_POSITIONS angstrom
Cu 0.0000 0.0000 0.0000
H 1.8557 0.0000 3.1748
H 0.0000 1.8557 3.1748
I 0.0000 0.0000 4.5800
I 0.0000 0.0000 8.1193
```


DFT (GGA-PBE) results for Zn3FeIr after structural relaxation. Values from VASP.

Space-group type: No. 221
Mass density (kg/m3): 6909
Energy of formation (eV/atom): 0.77
Size of the total moment (μB/f.u.): 3.46
E_tot (eV per atom): -3.4579
Relative energy among the computed polymorphs (eV per atom): 0.000

Structure (Quantum ESPRESSO input):
```
&SYSTEM
  ibrav = 0, nat = 5, ntyp = 3
/
ATOMIC_SPECIES
Zn 65.41 Zn.upf
Fe 55.84 Fe.upf
Ir 192.22 Ir.upf
CELL_PARAMETERS angstrom
4.7443 0.0000 0.0000
0.0000 4.7443 0.0000
0.0000 0.0000 4.7443
ATOMIC_POSITIONS angstrom
Zn 0.0000 0.0000 2.3721
Zn 0.0000 2.3721 0.0000
Zn 2.3721 0.0000 0.0000
Fe 2.3721 2.3721 2.3721
Ir 0.0000 0.0000 0.0000
```


DFT (GGA-PBE) results for BaTlRe3 after structural relaxation. Values from VASP.

Space-group type: No. 221
Mass density (kg/m3): 10982
Energy of formation (eV/atom): 3.72
Size of the total moment (μB/f.u.): 5.71
E_tot (eV per atom): -4.6079
Relative energy among the computed polymorphs (eV per atom): 1.003

Structure (Quantum ESPRESSO input):
```
&SYSTEM
  ibrav = 0, nat = 5, ntyp = 3
/
ATOMIC_SPECIES
Ba 137.33 Ba.upf
Tl 204.38 Tl.upf
Re 186.21 Re.upf
CELL_PARAMETERS angstrom
5.1443 0.0000 0.0000
0.0000 5.1443 0.0000
0.0000 0.0000 5.1443
ATOMIC_POSITIONS angstrom
Ba 0.0000 0.0000 0.0000
Tl 2.5721 2.5721 2.5721
Re 0.0000 0.0000 2.5721
Re 0.0000 2.5721 0.0000
Re 2.5721 0.0000 0.0000
```


DFT (GGA-PBE) results for CeThPd after structural relaxation. Values from VASP.

Space-group type: No. 107
Mass density (kg/m3): 10320
Energy of formation (eV/atom): -0.38
Size of the total moment (μB/f.u.): 0.84
E_tot (eV per atom): -6.5614
Relative energy among the computed polymorphs (eV per atom): 0.011

Structure (Quantum ESPRESSO input):
```
&SYSTEM
  ibrav = 0, nat = 3, ntyp = 3
/
ATOMIC_SPECIES
Ce 140.12 Ce.upf
Th 232.04 Th.upf
Pd 106.42 Pd.upf
CELL_PARAMETERS angstrom
-1.8630 1.8630 5.5464
1.8630 -1.8630 5.5464
1.8630 1.8630 -5.5464
ATOMIC_POSITIONS angstrom
Ce 0.0000 0.0000 0.0000
Th 0.0000 0.0000 7.7825
Pd 0.0000 0.0000 3.7614
```


DFT (GGA-PBE) results for Pm2GdTc after structural relaxation. Values from VASP.

Space-group type: No. 166
Mass density (kg/m3): 8857
Energy of formation (eV/atom): 0.28
Size of the total moment (μB/f.u.): 7.24
E_tot (eV per atom): -8.2021

Structure (Quantum ESPRESSO input):
```
&SYSTEM
  ibrav = 0, nat = 4, ntyp = 3
/
ATOMIC_SPECIES
Pm 145.00 Pm.upf
Gd 157.25 Gd.upf
Tc 98.00 Tc.upf
CELL_PARAMETERS angstrom
2.6259 1.5161 4.2794
-2.6259 1.5161 4.2794
0.0000 -3.0322 4.2794
ATOMIC_POSITIONS angstrom
Pm 0.0000 0.0000 3.2119
Pm 0.0000 0.0000 9.6262
Gd 0.0000 0.0000 0.0000
Tc 0.0000 0.0000 6.4191
```


DFT (GGA-PBE) results for SrHgPb2Cl8 after structural relaxation. Values from VASP.

Space-group type: No. 2
Mass density (kg/m3): 4170
Size of the total moment (μB/f.u.): 0.00
E_tot (eV per atom): -3.3320

Structure (Quantum ESPRESSO input):
```
&SYSTEM
  ibrav = 0, nat = 12, ntyp = 4
/
ATOMIC_SPECIES
Sr 87.62 Sr.upf
Hg 200.59 Hg.upf
Pb 207.20 Pb.upf
Cl 35.45 Cl.upf
CELL_PARAMETERS angstrom
6.6121 0.0000 0.0000
-0.0090 6.8444 0.0000
-0.3012 -0.2608 8.6771
ATOMIC_POSITIONS angstrom
Sr 0.0000 0.0000 0.0000
Hg -0.1506 -0.1304 4.3386
Pb 3.1847 3.3162 2.2372
Pb 3.1171 3.2673 6.4399
Cl 1.1258 0.7899 6.2796
Cl 1.5683 1.0502 2.2105
Cl 1.5492 4.4179 4.3292
Cl 1.4440 4.2727 8.6443
Cl 4.8578 2.3108 0.0328
Cl 4.7526 2.1657 4.3480
Cl 4.7336 5.5333 6.4667
Cl 5.1760 5.7936 2.3976
```


DFT (GGA-PBE) results for Li2ThCd10 after structural relaxation. Values from VASP.

Space-group type: No. 69
Mass density (kg/m3): 8092
Energy of formation (eV/atom): -0.14
Size of the total moment (μB/f.u.): 0.00
E_tot (eV per atom): -1.7066

Structure (Quantum ESPRESSO input):
```
&SYSTEM
  ibrav = 0, nat = 13, ntyp = 3
/
ATOMIC_SPECIES
Li 6.94 Li.upf
Th 232.04 Th.upf
Cd 112.41 Cd.upf
CELL_PARAMETERS angstrom
0.0000 7.0154 7.0752
2.8321 0.0000 7.0752
2.8321 7.0154 0.0000
ATOMIC_POSITIONS angstrom
Li 1.4160 0.0000 3.5376
Li 1.4160 7.0154 3.5376
Th 0.0000 0.0000 0.0000
Cd 1.4160 3.5077 0.0000
Cd 2.8321 4.6701 2.5441
Cd 2.8321 5.5686 5.4822
Cd 2.8321 9.3608 2.5441
Cd 2.8321 8.4623 5.4822
Cd 1.4160 3.5077 7.0752
Cd 2.8321 5.5686 8.6683
Cd 2.8321 4.6701 11.6064
Cd 2.8321 8.4623 8.6683
Cd 2.8321 9.3608 11.6064
```


DFT (GGA-PBE) results for NaCd4Ag8 after structural relaxation. Values from VASP.

Space-group type: No. 216
Mass density (kg/m3): 6999
Energy of formation (eV/atom): 0.25
Size of the total moment (μB/f.u.): 0.00
E_tot (eV per atom): -1.8884

Structure (Quantum ESPRESSO input):
```
&SYSTEM
  ibrav = 0, nat = 13, ntyp = 3
/
ATOMIC_SPECIES
Na 22.99 Na.upf
Cd 112.41 Cd.upf
Ag 107.87 Ag.upf
CELL_PARAMETERS angstrom
0.0000 5.4111 5.4111
5.4111 0.0000 5.4111
5.4111 5.4111 0.0000
ATOMIC_POSITIONS angstrom
Na 0.0000 0.0000 0.0000
Cd 6.4706 4.3516 4.3516
Cd 4.3516 6.4706 4.3516
Cd 4.3516 4.3516 6.4706
Cd 6.4706 6.4706 6.4706
Ag 3.7093 3.7093 3.7093
Ag 7.1128 7.1128 3.7093
Ag 7.1128 3.7093 7.1128
Ag 9.1542 7.0791 7.0791
Ag 7.0791 9.1542 7.0791
Ag 7.0791 7.0791 9.1542
Ag 9.1542 9.1542 9.1542
Ag 3.7093 7.1128 7.1128
```


DFT (GGA-PBE) results for RbLiOs2 after structural relaxation. Values from VASP.

Space-group type: No. 122
Mass density (kg/m3): 8994
Energy of formation (eV/atom): 1.25
Size of the total moment (μB/f.u.): 0.00
E_tot (eV per atom): -5.0897
Relative energy among the computed polymorphs (eV per atom): 0.000

Structure (Quantum ESPRESSO input):
```
&SYSTEM
  ibrav = 0, nat = 8, ntyp = 3
/
ATOMIC_SPECIES
Rb 85.47 Rb.upf
Li 6.94 Li.upf
Os 190.23 Os.upf
CELL_PARAMETERS angstrom
-2.0425 2.0425 10.4644
2.0425 -2.0425 10.4644
2.0425 2.0425 -10.4644
ATOMIC_POSITIONS angstrom
Rb 0.0000 0.0000 0.0000
Rb 0.0000 2.0425 5.2322
Li 2.0425 0.0000 5.2322
Li 0.0000 0.0000 10.4644
Os 1.0212 -0.5976 7.8483
Os 1.4448 1.0212 2.6161
Os 1.0212 2.6401 -2.6161
Os 0.5976 1.0212 13.0804
```


DFT (GGA-PBE) results for TbAl2Pb after structural relaxation. Values from VASP.

Space-group type: No. 123
Mass density (kg/m3): 7668
Energy of formation (eV/atom): -0.26
Size of the total moment (μB/f.u.): 0.00
E_tot (eV per atom): -4.2156

Structure (Quantum ESPRESSO input):
```
&SYSTEM
  ibrav = 0, nat = 4, ntyp = 3
/
ATOMIC_SPECIES
Tb 158.93 Tb.upf
Al 26.98 Al.upf
Pb 207.20 Pb.upf
CELL_PARAMETERS angstrom
4.5134 0.0000 0.0000
0.0000 4.5134 0.0000
0.0000 0.0000 4.4656
ATOMIC_POSITIONS angstrom
Tb 0.0000 0.0000 0.0000
Al 0.0000 2.2567 2.2328
Al 2.2567 0.0000 2.2328
Pb 2.2567 2.2567 0.0000
```


DFT (GGA-PBE) results for ErSbCl after structural relaxation. Values from VASP.

Space-group type: No. 187
Mass density (kg/m3): 7303
Size of the total moment (μB/f.u.): 0.00
E_tot (eV per atom): -4.5550
Relative energy among the computed polymorphs (eV per atom): 0.099

Structure (Quantum ESPRESSO input):
```
&SYSTEM
  ibrav = 0, nat = 3, ntyp = 3
/
ATOMIC_SPECIES
Er 167.26 Er.upf
Sb 121.76 Sb.upf
Cl 35.45 Cl.upf
CELL_PARAMETERS angstrom
4.8711 0.0000 0.0000
-2.4356 4.2185 0.0000
0.0000 0.0000 3.5903
ATOMIC_POSITIONS angstrom
Er 0.0000 0.0000 0.0000
Sb 2.4356 1.4062 1.7951
Cl 0.0000 2.8124 0.0000
```


DFT (GGA-PBE) results for TlIn3Ni after structural relaxation. Values from VASP.

Space-group type: No. 221
Mass density (kg/m3): 7856
Energy of formation (eV/atom): -0.02
Size of the total moment (μB/f.u.): 0.00
E_tot (eV per atom): -3.2924
Relative energy among the computed polymorphs (eV per atom): 0.000

Structure (Quantum ESPRESSO input):
```
&SYSTEM
  ibrav = 0, nat = 5, ntyp = 3
/
ATOMIC_SPECIES
Tl 204.38 Tl.upf
In 114.82 In.upf
Ni 58.69 Ni.upf
CELL_PARAMETERS angstrom
5.0451 0.0000 0.0000
0.0000 5.0451 0.0000
0.0000 0.0000 5.0451
ATOMIC_POSITIONS angstrom
Tl 0.0000 0.0000 0.0000
In 0.0000 2.5226 2.5226
In 2.5226 0.0000 2.5226
In 2.5226 2.5226 0.0000
Ni 2.5226 2.5226 2.5226
```